Model i:
Computed, not measured: a relaxed structure of URe2Ni at the GGA-PBE level of DFT.

The space group is R-3m (No. 166, hexagonal axes) and the conventional cell measures 4.5036, 4.5036 and 12.4054 Å, with angles of 90.00, 90.00 and 120.00 degrees. The distinct sites, in fractional coordinates, are U at (0.0000, 0.0000, 0.0000), Re at (0.0000, 0.0000, 0.1955) and Ni at (0.0000, 0.0000, 0.5000).

As for the magnetic moment: 0.00 μB per formula unit.



Model ii:
Computed, not measured: a relaxed structure of URe2Ni at the GGA-PBE level of DFT.

The space group is P4/mmm (No. 123) and the conventional cell measures 4.042, 4.042 and 3.885 Å, with angles of 90.00, 90.00 and 90.00 degrees. The distinct sites, in fractional coordinates, are U at (0.000, 0.000, 0.000), Re at (0.000, 0.500, 0.500) and Ni at (0.500, 0.500, 0.000).

As for the magnetic moment: 0.00 μB per formula unit.



Stability, lowest: model i



Model i:
Computed, not measured: a relaxed structure of VReNi4 at the GGA-PBE level of DFT.

The space group is F-43m (No. 216) and the conventional cell measures 6.569, 6.569 and 6.569 Å, with angles of 90.00, 90.00 and 90.00 degrees. The distinct sites, in fractional coordinates, are V at (0.000, 0.000, 0.000), Re at (0.250, 0.250, 0.250) and Ni at (0.125, 0.125, 0.625).

As for the magnetic moment: 0.00 μB per formula unit.



Model ii:
Computed, not measured: a relaxed structure of VReNi4 at the GGA-PBE level of DFT.

The space group is P4/mmm (No. 123) and the conventional cell measures 2.588, 2.588 and 10.700 Å, with angles of 90.00, 90.00 and 90.00 degrees. The distinct sites, in fractional coordinates, are V at (0.000, 0.000, 0.000), Re at (0.500, 0.500, 0.500), Ni at (0.000, 0.000, 0.328) and Ni at (0.500, 0.500, 0.165).

As for the magnetic moment: 0.00 μB per formula unit.



Stability, lowest: model i



Model i:
Computed, not measured: a relaxed structure of V3ReNi at the GGA-PBE level of DFT.

The space group is Pm-3m (No. 221) and the conventional cell measures 4.256, 4.256 and 4.256 Å, with angles of 90.00, 90.00 and 90.00 degrees. The distinct sites, in fractional coordinates, are V at (0.000, 0.000, 0.500), Re at (0.500, 0.500, 0.500) and Ni at (0.000, 0.000, 0.000).

As for the magnetic moment: 0.01 μB per formula unit.



Model ii:
Computed, not measured: a relaxed structure of V3ReNi at the GGA-PBE level of DFT.

The space group is Pm-3m (No. 221) and the conventional cell measures 4.538, 4.538 and 4.538 Å, with angles of 90.00, 90.00 and 90.00 degrees. The distinct sites, in fractional coordinates, are V at (0.000, 0.000, 0.500), Re at (0.000, 0.000, 0.000) and Ni at (0.500, 0.500, 0.500).

As for the magnetic moment: 0.77 μB per formula unit.



Stability, lowest: model ii



Model i:
Computed, not measured: a relaxed structure of VReNi at the GGA-PBE level of DFT.

The space group is I4mm (No. 107) and the conventional cell measures 3.087, 3.087 and 8.339 Å, with angles of 90.00, 90.00 and 90.00 degrees. The distinct sites, in fractional coordinates, are V at (0.000, 0.000, 0.000), Re at (0.000, 0.000, 0.658) and Ni at (0.000, 0.000, 0.335).

As for the magnetic moment: 0.00 μB per formula unit.



Model ii:
Computed, not measured: a relaxed structure of VReNi at the GGA-PBE level of DFT.

The space group is P4_2/mmc (No. 131) and the conventional cell measures 6.498, 6.498 and 4.779 Å, with angles of 90.00, 90.00 and 90.00 degrees. The distinct sites, in fractional coordinates, are V at (0.000, 0.222, 0.000), Re at (0.000, 0.301, 0.500) and Ni at (0.320, 0.500, 0.500).

As for the magnetic moment: 0.00 μB per formula unit.



Model iii:
Computed, not measured: a relaxed structure of VReNi at the GGA-PBE level of DFT.

The space group is P3m1 (No. 156) and the conventional cell measures 4.2552, 4.2552 and 2.5202 Å, with angles of 90.00, 90.00 and 120.00 degrees. The distinct sites, in fractional coordinates, are V at (0.0000, 0.0000, 0.0000), Re at (0.6667, 0.3333, 0.5906) and Ni at (0.3333, 0.6667, 0.1143).

As for the magnetic moment: 0.00 μB per formula unit.



Stability, lowest: model ii



Model i:
Computed, not measured: a relaxed structure of YReNi at the GGA-PBE level of DFT.

The space group is F-43m (No. 216) and the conventional cell measures 6.380, 6.380 and 6.380 Å, with angles of 90.00, 90.00 and 90.00 degrees. The distinct sites, in fractional coordinates, are Y at (0.000, 0.000, 0.000), Re at (0.250, 0.250, 0.750) and Ni at (0.250, 0.250, 0.250).

As for the magnetic moment: 2.68 μB per formula unit.



Model ii:
Computed, not measured: a relaxed structure of YReNi at the GGA-PBE level of DFT.

The space group is F-43m (No. 216) and the conventional cell measures 6.172, 6.172 and 6.172 Å, with angles of 90.00, 90.00 and 90.00 degrees. The distinct sites, in fractional coordinates, are Y at (0.000, 0.000, 0.000), Re at (0.000, 0.000, 0.500) and Ni at (0.250, 0.250, 0.750).

As for the magnetic moment: 1.69 μB per formula unit.



Stability, lowest: model i



Model i:
Computed, not measured: a relaxed structure of YRe2Ni at the GGA-PBE level of DFT.

The space group is P2/m (No. 10) and the conventional cell measures 3.236, 4.774 and 4.622 Å, with angles of 90.00, 102.18 and 90.00 degrees. The distinct sites, in fractional coordinates, are Y at (0.000, 0.000, 0.000), Re at (0.336, 0.500, 0.717) and Ni at (0.500, 0.000, 0.500).

As for the magnetic moment: 0.00 μB per formula unit.



Model ii:
Computed, not measured: a relaxed structure of YRe2Ni at the GGA-PBE level of DFT.

The space group is Imm2 (No. 44) and the conventional cell measures 3.284, 4.779 and 8.768 Å, with angles of 90.00, 90.00 and 90.00 degrees. The distinct sites, in fractional coordinates, are Y at (0.000, 0.000, 0.000), Re at (0.000, 0.000, 0.499), Re at (0.000, 0.500, 0.216) and Ni at (0.000, 0.500, 0.772).

As for the magnetic moment: 0.00 μB per formula unit.



Model iii:
Computed, not measured: a relaxed structure of YRe2Ni at the GGA-PBE level of DFT.

The space group is Pm (No. 6) and the conventional cell measures 2.996, 4.287 and 5.430 Å, with angles of 90.00, 100.98 and 90.00 degrees. The distinct sites, in fractional coordinates, are Y at (0.000, 0.000, 0.000), Re at (0.264, 0.500, 0.604), Re at (0.636, 0.000, 0.491) and Ni at (0.571, 0.500, 0.193).

As for the magnetic moment: 0.00 μB per formula unit.



Stability, lowest: model ii



Model i:
Computed, not measured: a relaxed structure of YRe2Ni at the GGA-PBE level of DFT.

The space group is P4/mmm (No. 123) and the conventional cell measures 2.760, 2.760 and 8.493 Å, with angles of 90.00, 90.00 and 90.00 degrees. The distinct sites, in fractional coordinates, are Y at (0.000, 0.000, 0.000), Re at (0.500, 0.500, 0.293) and Ni at (0.000, 0.000, 0.500).

As for the magnetic moment: 0.00 μB per formula unit.



Model ii:
Computed, not measured: a relaxed structure of YRe2Ni at the GGA-PBE level of DFT.

The space group is Pmmm (No. 47) and the conventional cell measures 3.217, 4.308 and 4.791 Å, with angles of 90.00, 90.00 and 90.00 degrees. The distinct sites, in fractional coordinates, are Y at (0.000, 0.000, 0.000), Re at (0.000, 0.500, 0.500), Re at (0.500, 0.000, 0.500) and Ni at (0.500, 0.500, 0.000).

As for the magnetic moment: 0.00 μB per formula unit.



Stability, lowest: model i



Model i:
Computed, not measured: a relaxed structure of YRe2Ni at the GGA-PBE level of DFT.

The space group is R3m (No. 160, hexagonal axes) and the conventional cell measures 2.8818, 2.8818 and 27.5593 Å, with angles of 90.00, 90.00 and 120.00 degrees. The distinct sites, in fractional coordinates, are Y at (0.0000, 0.0000, 0.0000), Re at (0.0000, 0.0000, 0.5061), Re at (0.0000, 0.0000, 0.7637) and Ni at (0.0000, 0.0000, 0.2466).

As for the magnetic moment: 0.00 μB per formula unit.



Model ii:
Computed, not measured: a relaxed structure of YRe2Ni at the GGA-PBE level of DFT.

The space group is C2/m (No. 12) and the conventional cell measures 10.992, 2.812 and 4.547 Å, with angles of 90.00, 110.41 and 90.00 degrees. The distinct sites, in fractional coordinates, are Y at (0.000, 0.000, 0.000), Re at (0.216, 0.000, 0.715) and Ni at (0.000, 0.500, 0.500).

As for the magnetic moment: 0.00 μB per formula unit.



Stability, lowest: model i



Model i:
Computed, not measured: a relaxed structure of YRe2Ni at the GGA-PBE level of DFT.

The space group is Fm-3m (No. 225) and the conventional cell measures 6.386, 6.386 and 6.386 Å, with angles of 90.00, 90.00 and 90.00 degrees. The distinct sites, in fractional coordinates, are Y at (0.000, 0.000, 0.000), Re at (0.250, 0.250, 0.250) and Ni at (0.000, 0.000, 0.500).

As for the magnetic moment: 0.00 μB per formula unit.



Model ii:
Computed, not measured: a relaxed structure of YRe2Ni at the GGA-PBE level of DFT.

The space group is R3m (No. 160, hexagonal axes) and the conventional cell measures 4.2831, 4.2831 and 14.5303 Å, with angles of 90.00, 90.00 and 120.00 degrees. The distinct sites, in fractional coordinates, are Y at (0.0000, 0.0000, 0.0000), Re at (0.0000, 0.0000, 0.2036), Re at (0.0000, 0.0000, 0.4996) and Ni at (0.0000, 0.0000, 0.8034).

As for the magnetic moment: 0.00 μB per formula unit.



Model iii:
Computed, not measured: a relaxed structure of YRe2Ni at the GGA-PBE level of DFT.

The space group is Cmmm (No. 65) and the conventional cell measures 5.325, 9.100 and 2.745 Å, with angles of 90.00, 90.00 and 90.00 degrees. The distinct sites, in fractional coordinates, are Y at (0.000, 0.000, 0.000), Re at (0.250, 0.250, 0.500) and Ni at (0.000, 0.500, 0.000).

As for the magnetic moment: 0.00 μB per formula unit.



Stability, lowest: model i



Model i:
Computed, not measured: a relaxed structure of YRe2Ni at the GGA-PBE level of DFT.

The space group is I-42d (No. 122) and the conventional cell measures 3.728, 3.728 and 20.586 Å, with angles of 90.00, 90.00 and 90.00 degrees. The distinct sites, in fractional coordinates, are Y at (0.000, 0.000, 0.000), Re at (0.222, 0.250, 0.625) and Ni at (0.000, 0.000, 0.500).

As for the magnetic moment: 0.00 μB per formula unit.



Model ii:
Computed, not measured: a relaxed structure of YRe2Ni at the GGA-PBE level of DFT.

The space group is F-43m (No. 216) and the conventional cell measures 6.401, 6.401 and 6.401 Å, with angles of 90.00, 90.00 and 90.00 degrees. The distinct sites, in fractional coordinates, are Y at (0.000, 0.000, 0.000), Re at (0.000, 0.000, 0.500), Re at (0.250, 0.250, 0.250) and Ni at (0.250, 0.250, 0.750).

As for the magnetic moment: 0.00 μB per formula unit.



Model iii:
Computed, not measured: a relaxed structure of YRe2Ni at the GGA-PBE level of DFT.

The space group is I4/mmm (No. 139) and the conventional cell measures 3.792, 3.792 and 9.458 Å, with angles of 90.00, 90.00 and 90.00 degrees. The distinct sites, in fractional coordinates, are Y at (0.000, 0.000, 0.000), Re at (0.000, 0.500, 0.250) and Ni at (0.000, 0.000, 0.500).

As for the magnetic moment: 0.29 μB per formula unit.



Stability, lowest: model i



Model i:
Computed, not measured: a relaxed structure of Zn2ReNi at the GGA-PBE level of DFT.

The space group is Fm-3m (No. 225) and the conventional cell measures 5.999, 5.999 and 5.999 Å, with angles of 90.00, 90.00 and 90.00 degrees. The distinct sites, in fractional coordinates, are Zn at (0.250, 0.250, 0.250), Re at (0.000, 0.000, 0.000) and Ni at (0.000, 0.000, 0.500).

As for the magnetic moment: 1.26 μB per formula unit.



Model ii:
Computed, not measured: a relaxed structure of Zn2ReNi at the GGA-PBE level of DFT.

The space group is R-3m (No. 166, hexagonal axes) and the conventional cell measures 2.7193, 2.7193 and 25.5528 Å, with angles of 90.00, 90.00 and 120.00 degrees. The distinct sites, in fractional coordinates, are Zn at (0.0000, 0.0000, 0.2448), Re at (0.0000, 0.0000, 0.0000) and Ni at (0.0000, 0.0000, 0.5000).

As for the magnetic moment: 0.00 μB per formula unit.



Model iii:
Computed, not measured: a relaxed structure of Zn2ReNi at the GGA-PBE level of DFT.

The space group is Immm (No. 71) and the conventional cell measures 2.692, 4.505 and 8.843 Å, with angles of 90.00, 90.00 and 90.00 degrees. The distinct sites, in fractional coordinates, are Zn at (0.000, 0.000, 0.233), Re at (0.000, 0.500, 0.000) and Ni at (0.000, 0.500, 0.500).

As for the magnetic moment: 0.00 μB per formula unit.



Model iv:
Computed, not measured: a relaxed structure of Zn2ReNi at the GGA-PBE level of DFT.

The space group is I4/mmm (No. 139) and the conventional cell measures 3.705, 3.705 and 7.850 Å, with angles of 90.00, 90.00 and 90.00 degrees. The distinct sites, in fractional coordinates, are Zn at (0.000, 0.500, 0.250), Re at (0.000, 0.000, 0.000) and Ni at (0.000, 0.000, 0.500).

As for the magnetic moment: 0.17 μB per formula unit.



Stability, lowest: model i



Model i:
Computed, not measured: a relaxed structure of Zn2ReNi at the GGA-PBE level of DFT.

The space group is P4mm (No. 99) and the conventional cell measures 2.643, 2.643 and 7.804 Å, with angles of 90.00, 90.00 and 90.00 degrees. The distinct sites, in fractional coordinates, are Zn at (0.000, 0.000, 0.000), Zn at (0.500, 0.500, 0.272), Re at (0.500, 0.500, 0.733) and Ni at (0.000, 0.000, 0.505).

As for the magnetic moment: 0.00 μB per formula unit.



Model ii:
Computed, not measured: a relaxed structure of Zn2ReNi at the GGA-PBE level of DFT.

The space group is F-43m (No. 216) and the conventional cell measures 6.014, 6.014 and 6.014 Å, with angles of 90.00, 90.00 and 90.00 degrees. The distinct sites, in fractional coordinates, are Zn at (0.000, 0.000, 0.000), Zn at (0.250, 0.250, 0.250), Re at (0.250, 0.250, 0.750) and Ni at (0.000, 0.000, 0.500).

As for the magnetic moment: 2.14 μB per formula unit.



Stability, lowest: model ii